(1)
# ZrAs2Rh PBE-GGA relaxed
data_ZrAs2Rh
_space_group_name_H-M_alt 'C m m m'
_space_group_IT_number 65
_space_group_name_Hall '-C 2 2'
_cell_length_a 4.038
_cell_length_b 5.210
_cell_length_c 6.704
_cell_angle_alpha 90.00
_cell_angle_beta 90.00
_cell_angle_gamma 90.00
loop_
_atom_site_label
_atom_site_fract_x
_atom_site_fract_y
_atom_site_fract_z
Zr1 0.000 0.000 0.000
As1 0.000 0.500 0.273
Rh1 0.000 0.000 0.500
# Volume ... 141.0 Å³ per cell
# Total DFT energy (no corrections) ... -53.952 eV for the cell shown
# Energy relative to the elements ... -444 meV/atom

---

(2)
# La6Nd3Y PBE-GGA relaxed
data_La6Nd3Y
_space_group_name_H-M_alt 'C m c 21'
_space_group_IT_number 36
_cell_length_a 10.974
_cell_length_b 19.619
_cell_length_c 6.681
_cell_angle_alpha 90.00
_cell_angle_beta 90.00
_cell_angle_gamma 90.00
loop_
_space_group_symop_operation_xyz
'x,y,z'
'-x,-y,z+1/2'
'-x,y,z'
'x,-y,z+1/2'
'x+1/2,y+1/2,z'
'-x+1/2,-y+1/2,z+1/2'
'-x+1/2,y+1/2,z'
'x+1/2,-y+1/2,z+1/2'
loop_
_atom_site_label
_atom_site_fract_x
_atom_site_fract_y
_atom_site_fract_z
La1 0.000 0.030 0.000
La2 0.000 0.281 0.190
La3 0.174 0.460 0.292
La4 0.221 0.292 0.480
Nd1 0.000 0.384 0.769
Nd2 0.177 0.119 0.383
Y1 0.000 0.186 0.744
# Volume ... 1438.4 Å³ per cell
# Total DFT energy (no corrections) ... -196.799 eV for the cell shown
# Energy relative to the elements ... 113 meV/atom

---

(3)
# TaSbPt PBE-GGA relaxed
data_TaSbPt
_space_group_name_H-M_alt 'P 3 m 1'
_space_group_IT_number 156
_cell_length_a 4.2957
_cell_length_b 4.2957
_cell_length_c 3.9126
_cell_angle_alpha 90.00
_cell_angle_beta 90.00
_cell_angle_gamma 120.00
loop_
_space_group_symop_operation_xyz
'x,y,z'
'-y,x-y,z'
'-x+y,-x,z'
'-y,-x,z'
'-x+y,y,z'
'x,x-y,z'
loop_
_atom_site_label
_atom_site_fract_x
_atom_site_fract_y
_atom_site_fract_z
Ta1 0.0000 0.0000 0.0000
Sb1 0.3333 0.6667 0.5252
Pt1 0.6667 0.3333 0.1878
# Volume ... 62.5 Å³ per cell
# Total DFT energy (no corrections) ... -22.300 eV for the cell shown

---

(4)
# Pm6Ru3Au PBE-GGA relaxed
data_Pm6Ru3Au
_space_group_name_H-M_alt 'C m c 21'
_space_group_IT_number 36
_cell_length_a 10.610
_cell_length_b 14.972
_cell_length_c 6.782
_cell_angle_alpha 90.00
_cell_angle_beta 90.00
_cell_angle_gamma 90.00
loop_
_space_group_symop_operation_xyz
'x,y,z'
'-x,-y,z+1/2'
'-x,y,z'
'x,-y,z+1/2'
'x+1/2,y+1/2,z'
'-x+1/2,-y+1/2,z+1/2'
'-x+1/2,y+1/2,z'
'x+1/2,-y+1/2,z+1/2'
loop_
_atom_site_label
_atom_site_fract_x
_atom_site_fract_y
_atom_site_fract_z
Pm1 0.000 0.033 0.000
Pm2 0.000 0.252 0.119
Pm3 0.180 0.297 0.558
Pm4 0.184 0.463 0.104
Ru1 0.000 0.411 0.379
Ru2 0.148 0.118 0.318
Au1 0.000 0.157 0.672
# Volume ... 1077.3 Å³ per cell
# Total DFT energy (no corrections) ... -248.022 eV for the cell shown
# Energy relative to the elements ... -240 meV/atom

---

(5)
# K2SrVCo PBE-GGA relaxed
data_K2SrVCo
_space_group_name_H-M_alt 'P 4/m m m'
_space_group_IT_number 123
_space_group_name_Hall '-P 4 2'
_cell_length_a 7.279
_cell_length_b 7.279
_cell_length_c 5.742
_cell_angle_alpha 90.00
_cell_angle_beta 90.00
_cell_angle_gamma 90.00
loop_
_atom_site_label
_atom_site_fract_x
_atom_site_fract_y
_atom_site_fract_z
K1 0.000 0.500 0.000
Sr1 0.000 0.000 0.000
V1 0.000 0.000 0.500
Co1 0.500 0.500 0.500
# Volume ... 304.2 Å³ per cell
# Total DFT energy (no corrections) ... -11.020 eV for the cell shown
# Energy relative to the elements ... 1816 meV/atom

---

The lowest total DFT energy (no corrections) belongs to which entry? Pm6Ru3Au